Record 1
Li5PS4F2 | GGA-PBE | relaxed

Energy relative to the elements, uncorrected, meV/atom: -1567
N(E_F), states/eV per cell: 0.0

Lattice parameters (Å, degrees): 6.7194 9.9659 5.4885 90.00 90.00 90.00
Space group Amm2 (No. 38)
Unique sites:
1 Li 0.0000 0.0000 0.0000 (multiplicity 2)
2 Li 0.2083 0.2138 0.6150 (multiplicity 8)
3 P 0.5000 0.0000 0.1456 (multiplicity 2)
4 S 0.2412 0.0000 0.3475 (multiplicity 4)
5 S 0.5000 0.1653 0.9235 (multiplicity 4)
6 F 0.0000 0.1842 0.8656 (multiplicity 4)


Record 2
LiPS2F | GGA-PBE | relaxed

Energy relative to the elements, uncorrected, meV/atom: 317
N(E_F), states/eV per cell: 3.3

Lattice parameters (Å, degrees): 4.9083 4.9083 3.7768 90.00 90.00 90.00
Space group P4/mmm (No. 123)
Unique sites:
1 Li 0.0000 0.0000 0.0000 (multiplicity 1)
2 P 0.5000 0.5000 0.0000 (multiplicity 1)
3 S 0.0000 0.5000 0.5000 (multiplicity 2)
4 F 0.5000 0.5000 0.5000 (multiplicity 1)


Record 3
LiPS2F | GGA-PBE | relaxed

Energy relative to the elements, uncorrected, meV/atom: 510
N(E_F), states/eV per cell: 2.7

Lattice parameters (Å, degrees): 4.1792 4.1792 4.5259 90.00 90.00 90.00
Space group P4/mmm (No. 123)
Unique sites:
1 Li 0.0000 0.0000 0.0000 (multiplicity 1)
2 P 0.0000 0.0000 0.5000 (multiplicity 1)
3 S 0.0000 0.5000 0.0000 (multiplicity 2)
4 F 0.5000 0.5000 0.5000 (multiplicity 1)


Number 1: density 2.096 Mg/m³, V 15.3 Å³/atom. Number 2: density 2.209 Mg/m³, V 18.2 Å³/atom. Number 3: density 2.543 Mg/m³, V 15.8 Å³/atom.